Here is crystalline CdIrSe2 at its relaxed geometry from Alexandria via LeMat-Bulk. Energies are from GGA-PBE.

Output
Formation energy (no corrections) = 0.64 eV/atom

a b c (Å): 4.7393 4.7393 4.7393
angles (deg): 60.00 60.00 60.00
Last column: nearest neighbours and their distance in Å.
Fractional positions:
Cd 0.0000 0.0000 0.0000  4 Se 2.90, 4 Ir 2.90
Ir 0.2500 0.2500 0.2500  4 Cd 2.90, 4 Se 2.90
Se 0.5000 0.5000 0.5000  4 Se 2.90, 4 Ir 2.90
Se 0.7500 0.7500 0.7500  4 Cd 2.90, 4 Se 2.90

Here is crystalline ZrIn2Hg at its relaxed geometry from Alexandria via LeMat-Bulk. Energies are from GGA-PBE.

Output
ΔH_f (0 K) = -65.8 meV/atom

a b c (Å): 3.3892 4.3966 6.2507
angles (deg): 90.00 90.00 90.00
Last column: nearest neighbours and their distance in Å.
Fractional positions:
Zr 0.0000 0.0000 0.0000  6 In 3.13, 4 Hg 3.18, 2 Zr 3.39
In 0.0000 0.0000 0.5000  2 Zr 3.13, 4 Hg 3.19, 6 In 3.24-3.39
In 0.5000 0.5000 0.7681  2 Hg 3.00-3.25, 4 Zr 3.13, 4 In 3.24
Hg 0.5000 0.5000 0.2485  6 In 3.00-3.25, 4 Zr 3.18

Here is crystalline CdW2Br at its relaxed geometry from Alexandria via LeMat-Bulk. Energies are from GGA-PBE.

Output
Distance to the lowest polymorph of the same formula = 1.076 eV per atom
Formation energy (no corrections) = 1.46 eV/atom

a b c (Å): 4.8620 4.8620 2.9812
angles (deg): 90.00 90.00 90.00
Last column: nearest neighbours and their distance in Å.
Fractional positions:
Cd 0.0000 0.0000 0.0000  8 W 2.85, 2 Cd 2.98
W 0.0000 0.5000 0.5000  4 Br 2.85, 4 Cd 2.85, 2 W 2.98
W 0.5000 0.0000 0.5000  4 Br 2.85, 4 Cd 2.85, 2 W 2.98
Br 0.5000 0.5000 0.0000  8 W 2.85, 2 Br 2.98

Here is crystalline Li2YAg at its relaxed geometry from Alexandria via LeMat-Bulk. Energies are from GGA-PBE.

Output
Distance to the lowest polymorph of the same formula = 0.000 eV per atom
ΔH_f (0 K) = -95.7 meV/atom

a b c (Å): 3.4662 3.5769 6.9822
angles (deg): 90.00 90.10 90.00
Last column: nearest neighbours and their distance in Å.
Fractional positions:
Li 0.0000 0.0000 0.0000  1 Ag 2.83, 4 Li 2.87
Li 0.4998 0.5000 0.2044  4 Ag 2.86, 4 Li 2.87
Y 0.5004 0.5000 0.6660  4 Ag 3.08-3.09, 5 Li 3.22-3.41
Ag 0.9999 0.0000 0.4054  5 Li 2.83-2.86, 4 Y 3.08-3.09

Here is crystalline YCrPt3 at its relaxed geometry from Alexandria via LeMat-Bulk. Energies are from GGA-PBE.

Output
Distance to the lowest polymorph of the same formula = 1.069 eV per atom
ΔH_f (0 K) = 1011.1 meV/atom

a b c (Å): 5.0711 5.0711 5.0711
angles (deg): 90.00 90.00 90.00
Last column: nearest neighbours and their distance in Å.
Fractional positions:
Y 0.0000 0.0000 0.0000  6 Pt 2.54
Cr 0.5000 0.5000 0.5000  12 Pt 3.59
Pt 0.0000 0.0000 0.5000  2 Y 2.54
Pt 0.0000 0.5000 0.0000  2 Y 2.54
Pt 0.5000 0.0000 0.0000  2 Y 2.54